1.
DFT (meta-GGA SCAN) results for a crystal of LaScHg2 relaxed with PBEsol.

abc: 3.604 5.116 6.180
angles: 114.45 106.96 90.00
Positions (direct):
Sc 0.267 0.767 0.533
La 0.493 0.493 0.987
Hg 0.008 0.008 0.016
Hg 0.732 0.232 0.464

D(E_F) (states/eV/cell): 3.41
Total moment (μB/f.u.): 0.000
ΔE to the lowest computed polymorph (eV per atom): 0.239
Calculated formation energy (eV per atom): -0.4405

***

2.
DFT (meta-GGA SCAN) results for a crystal of LaScHg relaxed with PBEsol.

abc: 3.509 3.509 6.795
angles: 104.96 104.96 90.00
Positions (direct):
La 0.663 0.663 0.326
Hg 0.980 0.980 0.960
Sc 0.357 0.357 0.714

D(E_F) (states/eV/cell): 1.97
Total moment (μB/f.u.): 0.907
ΔE to the lowest computed polymorph (eV per atom): 0.160
Calculated formation energy (eV per atom): -0.4396

***

3.
DFT (meta-GGA SCAN) results for a crystal of LaScHg2 relaxed with PBEsol.

abc: 3.452 5.148 5.483
angles: 90.00 90.00 90.00
Positions (direct):
Hg 0.875 0.000 0.919
Hg 0.875 0.500 0.303
Sc 0.375 0.500 0.855
La 0.375 0.000 0.423

D(E_F) (states/eV/cell): 3.13
Total moment (μB/f.u.): 0.354
ΔE to the lowest computed polymorph (eV per atom): 0.113
Calculated formation energy (eV per atom): -0.5660

***

4.
DFT (meta-GGA SCAN) results for a crystal of La2ScHg relaxed with PBEsol.

abc: 3.661 5.518 6.394
angles: 114.61 106.63 90.00
Positions (direct):
La 0.755 0.250 0.511
La 0.982 0.990 0.965
Sc 0.530 0.535 0.060
Hg 0.232 0.725 0.464

D(E_F) (states/eV/cell): 4.06
Total moment (μB/f.u.): 0.000
Calculated formation energy (eV per atom): -0.3411

***

5.
DFT (meta-GGA SCAN) results for a crystal of LaScHg relaxed with PBEsol.

abc: 3.490 3.490 7.563
angles: 90.00 90.00 120.00
Positions (direct):
Sc 0.667 0.333 0.306
La 0.333 0.667 0.672
Hg 0.000 0.000 0.021

D(E_F) (states/eV/cell): 2.76
Total moment (μB/f.u.): 0.480
ΔE to the lowest computed polymorph (eV per atom): 0.364
Calculated formation energy (eV per atom): -0.2359

***

6.
DFT (meta-GGA SCAN) results for a crystal of LaHgSe2 relaxed with PBEsol.

abc: 5.133 5.133 5.133
angles: 60.00 60.00 60.00
Positions (direct):
Hg 0.500 0.500 0.500
La 0.250 0.250 0.250
Se 0.750 0.750 0.750
Se 0.000 0.000 0.000

D(E_F) (states/eV/cell): 2.07
Total moment (μB/f.u.): 0.000
ΔE_f (raw) (kJ/mol of atoms): -87

***

7.
DFT (meta-GGA SCAN) results for a crystal of La2HgSe relaxed with PBEsol.

abc: 4.238 4.238 7.985
angles: 74.61 74.61 60.00
Positions (direct):
Se 0.000 0.000 0.000
Hg 0.500 0.500 0.500
La 0.743 0.743 0.772
La 0.257 0.257 0.228

D(E_F) (states/eV/cell): 2.28
Total moment (μB/f.u.): 0.000
ΔE to the lowest computed polymorph (eV per atom): 0.000
ΔE_f (raw) (kJ/mol of atoms): -136

***

8.
DFT (meta-GGA SCAN) results for a crystal of La2HgSe relaxed with PBEsol.

abc: 4.765 5.465 5.465
angles: 59.86 64.15 64.15
Positions (direct):
Hg 0.000 0.500 0.500
La 0.241 0.759 0.759
La 0.759 0.241 0.241
Se 0.500 0.000 0.000

D(E_F) (states/eV/cell): 3.60
Total moment (μB/f.u.): 0.000
ΔE to the lowest computed polymorph (eV per atom): 0.282
ΔE_f (raw) (kJ/mol of atoms): -108

***

9.
DFT (meta-GGA SCAN) results for a crystal of SrLaHgSe2 relaxed with PBEsol.

abc: 5.614 5.614 6.861
angles: 90.00 90.00 90.00
Positions (direct):
Se 0.500 0.000 0.000
Se 0.000 0.500 0.000
La 0.000 0.000 0.000
Sr 0.000 0.000 0.500
Hg 0.500 0.500 0.500

D(E_F) (states/eV/cell): 2.04
Total moment (μB/f.u.): 0.001
ΔE_f (raw) (kJ/mol of atoms): -54

***

10.
DFT (meta-GGA SCAN) results for a crystal of LaSi2Hg2 relaxed with PBEsol.

abc: 4.692 4.692 6.003
angles: 113.01 113.01 90.00
Positions (direct):
Hg 0.365 0.365 0.730
Hg 0.635 0.635 0.270
Si 0.750 0.250 0.500
Si 0.250 0.750 0.500
La 0.000 0.000 0.000

D(E_F) (states/eV/cell): 2.01
Total moment (μB/f.u.): 0.000
ΔE_f (raw) (kJ/mol of atoms): -18

***

11.
DFT (meta-GGA SCAN) results for a crystal of LaSiHg relaxed with PBEsol.

abc: 4.766 4.766 4.766
angles: 60.00 60.00 60.00
Positions (direct):
La 0.500 0.500 0.500
Si 0.250 0.250 0.250
Hg 0.000 0.000 0.000

D(E_F) (states/eV/cell): 2.55
Total moment (μB/f.u.): 0.000
ΔE_f (raw) (kJ/mol of atoms): -35

***

12.
DFT (meta-GGA SCAN) results for a crystal of LaSiHg relaxed with PBEsol.

abc: 4.325 4.380 4.380
angles: 120.00 90.00 90.00
Positions (direct):
La 0.666 0.333 0.667
Hg 0.166 0.000 0.000
Si 0.168 0.667 0.333

D(E_F) (states/eV/cell): 1.52
Total moment (μB/f.u.): 0.000
ΔE_f (raw) (kJ/mol of atoms): -67

***

> The highest total moment belongs to which entry?

number 2